Record 1
A plane-wave DFT calculation with PBE-GGA was carried out for an optimized crystal structure of Pm5NdSi2.

abc: 7.575 7.575 7.575
angles: 145.15 102.49 87.88
Fractional coordinates of all 8 atoms:
Pm: 0.000 0.000 0.000
Pm: 0.027 0.339 0.688
Pm: 0.349 0.661 0.688
Pm: 0.651 0.339 0.312
Pm: 0.973 0.661 0.312
Nd: 0.500 0.000 0.500
Si: 0.289 0.289 0.000
Si: 0.711 0.711 0.000

Output
The calculation puts the total magnetization at 0.000 μB per cell. For the energy, the calculation gives -5.176 eV/atom.

Record 2
A plane-wave DFT calculation with PBE-GGA was carried out for an optimized crystal structure of Pm4NdSi2.

abc: 9.923 9.923 4.070
angles: 90.00 90.00 90.00
Fractional coordinates of all 14 atoms:
Pm: 0.105 0.329 0.000
Pm: 0.171 0.605 0.500
Pm: 0.329 0.105 0.000
Pm: 0.395 0.829 0.500
Pm: 0.605 0.171 0.500
Pm: 0.671 0.895 0.000
Pm: 0.829 0.395 0.500
Pm: 0.895 0.671 0.000
Nd: 0.000 0.000 0.500
Nd: 0.500 0.500 0.000
Si: 0.165 0.835 0.000
Si: 0.335 0.335 0.500
Si: 0.665 0.665 0.500
Si: 0.835 0.165 0.000

Output
The calculation puts the total magnetization at 0.000 μB per cell. For the energy, the calculation gives -5.307 eV/atom.